Below is RbPaAuO5 after structural relaxation, with properties calculated at the PBE level.

abc: 6.1316 10.7302 8.2067
angles: 90.00 102.08 90.00
Last column: nearest neighbours and their distance in Å.
Space group C2/c (No. 15)
Unique sites:
Rb: 0.0000 0.1784 0.2500 x4  7 O 2.80-3.06
Pa: 0.0000 0.5000 0.0000 x4  6 O 2.11-2.34
Au: 0.0000 0.1760 0.7500 x4  4 O 2.02-2.04
O: 0.0000 0.4411 0.2500 x4  2 Pa 2.15
O: 0.0090 0.3127 0.5796 x8  1 Au 2.04, 1 Pa 2.11
O: 0.1194 0.0451 0.9230 x8  1 Au 2.02

**Magnetic moment**: 4.17 Bohr magnetons per cell
**Uncorrected formation energy**: -1.731 eV per atom
**Total energy**: -0.2406 hartree per atom



Below is Pu2NpRu3 after structural relaxation, with properties calculated at the PBE level.

abc: 3.2509 4.9004 7.6703
angles: 71.48 89.78 89.95
Last column: nearest neighbours and their distance in Å.
Space group P-1 (No. 2)
Unique sites:
Pu: 0.0008 0.1725 0.1534 x2  8 Ru 2.97-3.12, 4 Pu 3.25-3.32
Np: 0.0000 0.5000 0.5000 x1  8 Ru 2.64-2.94
Ru: 0.4991 0.6430 0.2120 x2  2 Np 2.64-2.66
Ru: 0.5000 0.0000 0.5000 x1  4 Np 2.94, 4 Pu 3.00, 6 Ru 3.22-3.25

**Magnetic moment**: 11.63 Bohr magnetons per cell
**Energy relative to the lowest polymorph listed for this composition**: 0 meV/atom
**Total energy**: -0.4290 hartree per atom
**DFT formation energy**: -0.10 eV per atom



Below is CsLiTe4 after structural relaxation, with properties calculated at the PBE level.

abc: 5.3240 8.7244 11.3985
angles: 102.36 94.10 90.89
Last column: nearest neighbours and their distance in Å.
Space group P-1 (No. 2)
Unique sites:
Cs: 0.2267 0.4683 0.2296 x2  9 Te 3.93-4.18
Li: 0.0000 0.0000 0.0000 x1  4 Te 2.77-2.80
Li: 0.5000 0.0000 0.5000 x1  4 Te 2.85-2.91
Te: 0.2363 0.2135 0.8925 x2  1 Li 2.77, 2 Te 2.88-2.94
Te: 0.2441 0.2888 0.5269 x2  1 Li 2.85, 2 Te 2.87-2.91
Te: 0.2676 0.7356 0.5744 x2  2 Te 2.87-2.91, 1 Li 2.91
Te: 0.2842 0.9007 0.1843 x2  1 Li 2.80, 2 Te 2.88-2.94

**Magnetic moment**: 0.00 Bohr magnetons per cell
**Uncorrected formation energy**: -0.475 eV per atom
**Total energy**: -0.1114 hartree per atom



Below is PmDy4Sc3 after structural relaxation, with properties calculated at the PBE level.

abc: 10.9529 7.0555 6.0740
angles: 90.00 90.00 90.00
Last column: nearest neighbours and their distance in Å.
Space group Pmn2_1 (No. 31)
Unique sites:
Pm: 0.0000 0.1182 0.0000 x2  6 Sc 3.38-3.48, 6 Dy 3.43-3.63
Dy: 0.0000 0.3695 0.4961 x2  4 Sc 3.40-3.59, 6 Dy 3.40-3.59, 2 Pm 3.50-3.54
Dy: 0.0000 0.6319 0.9894 x2  4 Sc 3.40-3.56, 6 Dy 3.41-3.59, 2 Pm 3.43-3.63
Dy: 0.2454 0.6312 0.3351 x4  5 Sc 3.36-3.61, 6 Dy 3.40-3.56, 1 Pm 3.45
Sc: 0.0000 0.8787 0.5012 x2  6 Dy 3.36-3.59, 4 Sc 3.38-3.40, 2 Pm 3.47-3.48
Sc: 0.2489 0.1194 0.3291 x4  4 Sc 3.38-3.47, 2 Pm 3.38, 6 Dy 3.40-3.61

**Magnetic moment**: 0.00 Bohr magnetons per cell
**Energy relative to the lowest polymorph listed for this composition**: 0 meV/atom
**Total energy**: -0.1924 hartree per atom
**DFT formation energy**: 0.03 eV per atom



What did the second record say?
Below is Pu2NpRu3 after structural relaxation, with properties calculated at the PBE level.

abc: 3.2509 4.9004 7.6703
angles: 71.48 89.78 89.95
Last column: nearest neighbours and their distance in Å.
Space group P-1 (No. 2)
Unique sites:
Pu: 0.0008 0.1725 0.1534 x2  8 Ru 2.97-3.12, 4 Pu 3.25-3.32
Np: 0.0000 0.5000 0.5000 x1  8 Ru 2.64-2.94
Ru: 0.4991 0.6430 0.2120 x2  2 Np 2.64-2.66
Ru: 0.5000 0.0000 0.5000 x1  4 Np 2.94, 4 Pu 3.00, 6 Ru 3.22-3.25

**Magnetic moment**: 11.63 Bohr magnetons per cell
**Energy relative to the lowest polymorph listed for this composition**: 0 meV/atom
**Total energy**: -0.4290 hartree per atom
**DFT formation energy**: -0.10 eV per atom